[1]
VASP calculation (PBE) on a relaxed Rb2ZrHg2 crystal.

abc: 7.662 7.662 6.261
angles: 90.00 90.00 90.00
Positions (direct):
Rb1 0.824 0.324 0.500
Rb2 0.324 0.176 0.500
Rb3 0.176 0.676 0.500
Rb4 0.676 0.824 0.500
Hg1 0.859 0.641 0.000
Hg2 0.359 0.859 0.000
Hg3 0.141 0.359 0.000
Hg4 0.641 0.141 0.000
Zr1 0.000 0.000 0.000
Zr2 0.500 0.500 0.000

Calculated values
Energy in eV per cell: -19.3
DOS(E_F) in states/eV per atom: 0.665
Energy relative to the elements in eV/atom: 0.290
Space-group type: P4/mbm, No. 127
Polymorph energy (0 for the lowest one) in eV per formula unit: 0.00
Crystal system: tetragonal
V in A^3/atom: 36.754

***

[2]
VASP calculation (PBE) on a relaxed Rb3ZrHg crystal.

abc: 6.780 6.780 6.780
angles: 90.00 90.00 90.00
Positions (direct):
Rb1 0.000 0.000 0.500
Rb2 0.500 0.000 0.000
Rb3 0.000 0.500 0.000
Hg1 0.000 0.000 0.000
Zr1 0.500 0.500 0.500

Calculated values
Energy in eV per cell: -7.4
DOS(E_F) in states/eV per atom: 1.610
Energy relative to the elements in eV/atom: 0.878
Space-group type: Pm-3m, No. 221
Polymorph energy (0 for the lowest one) in eV per formula unit: 0.00
Crystal system: cubic
V in A^3/atom: 62.322

***

[3]
VASP calculation (PBE) on a relaxed Rb2ZrHg2 crystal.

abc: 4.603 4.603 8.621
angles: 74.52 74.52 90.00
Positions (direct):
Rb1 0.250 0.750 0.500
Rb2 0.750 0.250 0.500
Hg1 0.586 0.586 0.828
Hg2 0.414 0.414 0.172
Zr1 0.000 0.000 0.000

Calculated values
Energy in eV per cell: -7.9
DOS(E_F) in states/eV per atom: 0.954
Energy relative to the elements in eV/atom: 0.629
Space-group type: I4/mmm, No. 139
Polymorph energy (0 for the lowest one) in eV per formula unit: 1.70
Crystal system: tetragonal
V in A^3/atom: 33.827

***

[4]
VASP calculation (PBE) on a relaxed ReHg4 crystal.

abc: 8.506 8.506 8.506
angles: 153.79 153.79 37.40
Positions (direct):
Hg1 0.412 0.412 0.000
Hg2 0.750 0.250 0.500
Hg3 0.588 0.588 0.000
Hg4 0.250 0.750 0.500
Re1 0.000 0.000 0.000

Calculated values
Energy in eV per cell: -8.2
DOS(E_F) in states/eV per atom: 0.837
Energy relative to the elements in eV/atom: 1.089
Space-group type: I4/mmm, No. 139
Polymorph energy (0 for the lowest one) in eV per formula unit: 1.30
Crystal system: tetragonal
V in A^3/atom: 23.966

***

[5]
VASP calculation (PBE) on a relaxed Re5Hg4 crystal.

abc: 6.560 6.560 6.560
angles: 95.80 95.80 142.92
Positions (direct):
Re1 0.356 0.644 0.000
Re2 0.356 0.356 0.712
Re3 0.000 0.000 0.000
Re4 0.644 0.644 0.288
Re5 0.644 0.356 0.000
Hg1 0.677 0.000 0.677
Hg2 0.000 0.323 0.323
Hg3 0.323 0.000 0.323
Hg4 0.000 0.677 0.677

Calculated values
Energy in eV per cell: -56.6
DOS(E_F) in states/eV per atom: 0.718
Energy relative to the elements in eV/atom: 0.759
Space-group type: I4/mmm, No. 139
Polymorph energy (0 for the lowest one) in eV per formula unit: 0.00
Crystal system: tetragonal
V in A^3/atom: 17.931

***

[6]
VASP calculation (PBE) on a relaxed Re4Hg3 crystal.

abc: 14.635 14.635 14.635
angles: 168.31 168.31 16.56
Positions (direct):
Hg1 0.705 0.705 0.000
Hg2 0.000 0.000 0.000
Hg3 0.295 0.295 0.000
Re1 0.128 0.128 0.000
Re2 0.872 0.872 0.000
Re3 0.577 0.577 0.000
Re4 0.423 0.423 0.000

Calculated values
Energy in eV per cell: -47.7
DOS(E_F) in states/eV per atom: 0.504
Energy relative to the elements in eV/atom: 0.430
Space-group type: I4/mmm, No. 139
Polymorph energy (0 for the lowest one) in eV per formula unit: 0.00
Crystal system: tetragonal
V in A^3/atom: 18.369

***

Q: Look up the energy of the fifth one.
A: -56.6 eV per cell

***

Q: Which of these has the highest DOS(E_F)?
A: Rb3ZrHg